# 1
The following is a PBE-GGA calculation of a relaxed structure of ScU2NbN4, from Alexandria.

Summary:
The density of states at the Fermi level comes out at 9.04 states/eV/cell.

Unit cell a=5.6946 b=3.3012 c=5.7331 alpha=90.00 beta=109.25 gamma=90.00
Last column: nearest neighbours and their distance in Å.
Space group P2/m (No. 10)
Unique sites:
Sc  0.0000  0.0000  0.0000  6 N 2.28-2.29
U  0.0000  0.5000  0.5000  6 N 2.38-2.39
U  0.5000  0.0000  0.5000  6 N 2.38-2.39
Nb  0.5000  0.5000  0.0000  6 N 2.28
N  0.2450  0.5000  0.2342  1 Nb 2.28, 2 Sc 2.29, 3 U 2.38-2.39
N  0.2556  0.0000  0.7671  1 Sc 2.28, 2 Nb 2.28, 3 U 2.38-2.39

# 2
The following is a PBE-GGA calculation of a relaxed structure of OsWI2N, from Alexandria.

Summary:
The density of states at the Fermi level comes out at 4.04 states/eV/cell. The energy above the lowest structure with this stoichiometry is 0 meV per atom.

Unit cell a=5.5259 b=5.5259 c=3.6938 alpha=90.00 beta=90.00 gamma=90.00
Last column: nearest neighbours and their distance in Å.
Space group P4/mmm (No. 123)
Unique sites:
Os  0.0000  0.0000  0.0000  2 N 1.85
W  0.5000  0.5000  0.5000  8 I 3.32, 2 W 3.69
I  0.0000  0.5000  0.0000  2 Os 2.76
N  0.0000  0.0000  0.5000  2 Os 1.85

# 3
The following is a PBE-GGA calculation of a relaxed structure of KSrBr3, from Alexandria.

Summary:
The density of states at the Fermi level comes out at 0.00 states/eV/cell.

Unit cell a=8.4978 b=4.6456 c=17.9204 alpha=90.00 beta=90.00 gamma=90.00
Last column: nearest neighbours and their distance in Å.
Space group Pnma (No. 62)
Unique sites:
K  0.1177  0.2500  0.2093  7 Br 3.29-3.66
Sr  0.2354  0.7500  0.4579  7 Br 3.06-3.37
Br  0.0130  0.2500  0.4077  3 Sr 3.13-3.20
Br  0.1314  0.7500  0.0555  3 Sr 3.12-3.37
Br  0.1721  0.2500  0.7927  1 Sr 3.06, 4 K 3.29-3.39

# 4
The following is a PBE-GGA calculation of a relaxed structure of Na2Sm2HfSe6, from Alexandria.

Summary:
The density of states at the Fermi level comes out at 0.00 states/eV/cell.

Unit cell a=7.1616 b=12.2319 c=7.4721 alpha=90.00 beta=108.70 gamma=90.00
Last column: nearest neighbours and their distance in Å.
Space group C2/m (No. 12)
Unique sites:
Na  0.0000  0.1704  0.0000  6 Se 3.03-3.15
Sm  0.0000  0.3336  0.5000  6 Se 2.92-2.93
Hf  0.0000  0.0000  0.5000  6 Se 2.70-2.72
Se  0.2313  0.1559  0.7248  1 Hf 2.72, 2 Sm 2.92-2.93, 1 Na 3.03
Se  0.2320  0.0000  0.2772  1 Hf 2.70, 2 Sm 2.92

no.,raw formation energy (eV/atom)
1,-1.41
2,1.43
3,-1.98
4,-1.58